Model 1:
An optimized crystal structure of Al3GaAg4, computed with PBE-GGA.

Cell lengths 9.042, 3.063, 10.052 Å; angles 90.00, 99.19, 90.00 degrees
Positions (direct):
Al1 0.000 0.000 0.000
Al2 0.005 0.500 0.753
Al3 0.495 0.000 0.247
Al4 0.500 0.500 0.000
Al5 0.505 0.000 0.753
Al6 0.995 0.500 0.247
Ga1 0.000 0.000 0.500
Ga2 0.500 0.500 0.500
Ag1 0.244 0.000 0.372
Ag2 0.248 0.500 0.124
Ag3 0.252 0.000 0.876
Ag4 0.256 0.500 0.628
Ag5 0.744 0.500 0.372
Ag6 0.748 0.000 0.124
Ag7 0.752 0.500 0.876
Ag8 0.756 0.000 0.628

Computed properties:
For the magnetic moment, the calculation gives 0.00 Bohr magnetons per cell.

***

Model 2:
An optimized crystal structure of Al3GaAg4, computed with PBE-GGA.

Cell lengths 12.303, 4.684, 5.342 Å; angles 90.00, 114.85, 90.00 degrees
Positions (direct):
Al1 0.000 0.000 0.000
Al2 0.128 0.000 0.679
Al3 0.372 0.500 0.321
Al4 0.500 0.500 0.000
Al5 0.628 0.500 0.679
Al6 0.872 0.000 0.321
Ga1 0.000 0.500 0.500
Ga2 0.500 0.000 0.500
Ag1 0.126 0.500 0.048
Ag2 0.250 0.000 0.335
Ag3 0.250 0.500 0.665
Ag4 0.374 0.000 0.952
Ag5 0.626 0.000 0.048
Ag6 0.750 0.000 0.665
Ag7 0.750 0.500 0.335
Ag8 0.874 0.500 0.952

Computed properties:
For the magnetic moment, the calculation gives 0.00 Bohr magnetons per cell.

***

Most stable pick: model 1. Distance to second place: 1.9 kJ/mol of atoms.

***

Model 1:
An optimized crystal structure of AlGa6Ag8, computed with PBE-GGA.

Cell lengths 6.693, 6.693, 6.693 Å; angles 77.55, 77.55, 77.55 degrees
Positions (direct):
Al1 0.000 0.000 0.000
Ga1 0.191 0.594 0.436
Ga2 0.406 0.564 0.809
Ga3 0.436 0.191 0.594
Ga4 0.564 0.809 0.406
Ga5 0.594 0.436 0.191
Ga6 0.809 0.406 0.564
Ag1 0.061 0.380 0.836
Ag2 0.164 0.939 0.620
Ag3 0.220 0.220 0.220
Ag4 0.380 0.836 0.061
Ag5 0.620 0.164 0.939
Ag6 0.780 0.780 0.780
Ag7 0.836 0.061 0.380
Ag8 0.939 0.620 0.164

Computed properties:
For the magnetic moment, the calculation gives 0.00 Bohr magnetons per cell.

***

Model 2:
An optimized crystal structure of AlGa6Ag8, computed with PBE-GGA.

Cell lengths 7.651, 7.651, 5.475 Å; angles 90.00, 90.00, 120.00 degrees
Positions (direct):
Al1 0.000 0.000 0.000
Ga1 0.000 0.378 0.174
Ga2 0.000 0.622 0.826
Ga3 0.378 0.000 0.174
Ga4 0.378 0.378 0.826
Ga5 0.622 0.000 0.826
Ga6 0.622 0.622 0.174
Ag1 0.001 0.719 0.320
Ag2 0.281 0.282 0.320
Ag3 0.282 0.001 0.680
Ag4 0.333 0.667 0.502
Ag5 0.667 0.333 0.498
Ag6 0.718 0.999 0.320
Ag7 0.719 0.718 0.680
Ag8 0.999 0.281 0.680

Computed properties:
For the magnetic moment, the calculation gives 0.00 Bohr magnetons per cell.

***

Most stable pick: model 2. Distance to second place: 5.9 kJ/mol of atoms.

***

Model 1:
An optimized crystal structure of Al4Ga2Ag5, computed with PBE-GGA.

Cell lengths 7.278, 7.278, 5.453 Å; angles 102.71, 102.71, 45.68 degrees
Positions (direct):
Al1 0.071 0.071 0.364
Al2 0.267 0.267 0.260
Al3 0.733 0.733 0.740
Al4 0.929 0.929 0.636
Ga1 0.251 0.251 0.722
Ga2 0.749 0.749 0.278
Ag1 0.148 0.653 0.056
Ag2 0.347 0.852 0.944
Ag3 0.500 0.500 0.500
Ag4 0.653 0.148 0.056
Ag5 0.852 0.347 0.944

Computed properties:
For the magnetic moment, the calculation gives 0.00 Bohr magnetons per cell.

***

Model 2:
An optimized crystal structure of Al4Ga2Ag5, computed with PBE-GGA.

Cell lengths 9.777, 9.777, 7.280 Å; angles 101.48, 101.48, 17.52 degrees
Positions (direct):
Al1 0.007 0.007 0.188
Al2 0.369 0.369 0.632
Al3 0.631 0.631 0.368
Al4 0.993 0.993 0.812
Ga1 0.132 0.132 0.047
Ga2 0.868 0.868 0.953
Ag1 0.124 0.124 0.686
Ag2 0.250 0.250 0.323
Ag3 0.500 0.500 0.500
Ag4 0.750 0.750 0.677
Ag5 0.876 0.876 0.314

Computed properties:
For the magnetic moment, the calculation gives 0.00 Bohr magnetons per cell.

***

Most stable pick: model 2. Distance to second place: 3.0 kJ/mol of atoms.